No. 1
# ReNiAs2Pt

ReNiAs2Pt after structural relaxation (GGA-PBE, the Alexandria database).

a = 4.780 Å, b = 4.589 Å, c = 4.780 Å
α = 90.00°, β = 90.00°, γ = 90.00°
Atoms (fractional coordinates):
1 Re 0.500 0.500 0.500
2 As 0.000 0.000 0.500
3 As 0.500 0.000 0.000
4 Pt 0.000 0.000 0.000
5 Ni 0.000 0.500 0.000

Energy of formation from the pure elements   1.444 eV per atom
V   20.97 Å³ per atom
Space group   P4/mmm, No. 123

***

No. 2
# NaGe2Pt3

NaGe2Pt3 after structural relaxation (GGA-PBE, the Alexandria database).

a = 4.181 Å, b = 7.792 Å, c = 7.993 Å
α = 114.44°, β = 90.00°, γ = 105.56°
Atoms (fractional coordinates):
1 Na 0.836 0.672 0.927
2 Na 0.164 0.328 0.073
3 Ge 0.484 0.968 0.836
4 Ge 0.516 0.032 0.164
5 Ge 0.821 0.643 0.346
6 Ge 0.179 0.357 0.654
7 Pt 0.319 0.639 0.570
8 Pt 0.970 0.940 0.661
9 Pt 0.606 0.213 0.703
10 Pt 0.394 0.787 0.297
11 Pt 0.030 0.060 0.339
12 Pt 0.681 0.361 0.430

Energy of formation from the pure elements   -0.440 eV per atom
V   18.88 Å³ per atom
Space group   C2/m, No. 12

***

No. 3
# Ce2PrPd9

Ce2PrPd9 after structural relaxation (GGA-PBE, the Alexandria database).

a = 4.176 Å, b = 4.176 Å, c = 12.525 Å
α = 90.00°, β = 90.00°, γ = 90.00°
Atoms (fractional coordinates):
1 Ce 0.000 0.000 0.334
2 Ce 0.000 0.000 0.666
3 Pr 0.000 0.000 0.000
4 Pd 0.500 0.500 0.000
5 Pd 0.500 0.500 0.336
6 Pd 0.500 0.500 0.664
7 Pd 0.500 0.000 0.173
8 Pd 0.500 0.000 0.500
9 Pd 0.500 0.000 0.827
10 Pd 0.000 0.500 0.173
11 Pd 0.000 0.500 0.500
12 Pd 0.000 0.500 0.827

Energy of formation from the pure elements   -0.812 eV per atom
V   18.20 Å³ per atom
Space group   P4/mmm, No. 123

***

No. 4
# Rb3U2SnTe6

Rb3U2SnTe6 after structural relaxation (GGA-PBE, the Alexandria database).

a = 8.015 Å, b = 8.015 Å, c = 8.880 Å
α = 98.65°, β = 98.65°, γ = 119.98°
Atoms (fractional coordinates):
1 Rb 0.162 0.838 0.500
2 Rb 0.838 0.162 0.500
3 Rb 0.500 0.500 0.500
4 U 0.333 0.667 0.000
5 U 0.667 0.333 0.000
6 Sn 0.000 0.000 0.000
7 Te 0.933 0.590 0.800
8 Te 0.722 0.722 0.198
9 Te 0.067 0.410 0.200
10 Te 0.590 0.933 0.800
11 Te 0.278 0.278 0.802
12 Te 0.410 0.067 0.200

Formation energy without anion corrections   -0.81 eV per atom
V   39.27 Å³ per atom
Space group   C2/m, No. 12

***

No. 5
# NaNpTe3Pb

NaNpTe3Pb after structural relaxation (GGA-PBE, the Alexandria database).

a = 4.466 Å, b = 8.965 Å, c = 11.683 Å
α = 96.89°, β = 90.00°, γ = 90.00°
Atoms (fractional coordinates):
1 Na 0.750 0.850 0.868
2 Na 0.250 0.150 0.132
3 Np 0.250 0.640 0.142
4 Np 0.750 0.360 0.858
5 Te 0.250 0.633 0.409
6 Te 0.750 0.893 0.156
7 Te 0.750 0.398 0.128
8 Te 0.750 0.367 0.591
9 Te 0.250 0.602 0.872
10 Te 0.250 0.107 0.844
11 Pb 0.250 0.140 0.586
12 Pb 0.750 0.860 0.414

Formation energy without anion corrections   -0.59 eV per atom
V   38.70 Å³ per atom
Space group   P2_1/m, No. 11

***

No. 6
# CsZr2HgI

CsZr2HgI after structural relaxation (GGA-PBE, the Alexandria database).

a = 5.442 Å, b = 6.199 Å, c = 5.442 Å
α = 90.00°, β = 90.00°, γ = 90.00°
Atoms (fractional coordinates):
1 Cs 0.000 0.000 0.000
2 I 0.500 0.500 0.500
3 Hg 0.000 0.500 0.000
4 Zr 0.000 0.000 0.500
5 Zr 0.500 0.000 0.000

Formation energy without anion corrections   1.73 eV per atom
V   36.72 Å³ per atom
Space group   P4/mmm, No. 123

***

No. 7
# Dy8Bi2C3

Dy8Bi2C3 after structural relaxation (GGA-PBE, the Alexandria database).

a = 6.394 Å, b = 7.265 Å, c = 8.516 Å
α = 115.25°, β = 104.43°, γ = 90.00°
Atoms (fractional coordinates):
1 Dy 0.915 0.593 0.185
2 Dy 0.085 0.407 0.815
3 Dy 0.895 0.090 0.181
4 Dy 0.105 0.910 0.819
5 Dy 0.613 0.671 0.823
6 Dy 0.613 0.152 0.823
7 Dy 0.387 0.848 0.177
8 Dy 0.387 0.329 0.177
9 Bi 0.322 0.254 0.507
10 Bi 0.678 0.746 0.493
11 C 0.500 0.000 0.000
12 C 0.000 0.252 0.000
13 C 0.000 0.748 0.000

Energy of formation from the pure elements   -0.396 eV per atom
V   26.46 Å³ per atom
Space group   C2/m, No. 12

***

No. 8
# CdInPd2C

CdInPd2C after structural relaxation (GGA-PBE, the Alexandria database).

a = 5.096 Å, b = 4.062 Å, c = 5.096 Å
α = 90.00°, β = 90.00°, γ = 90.00°
Atoms (fractional coordinates):
1 C 0.000 0.500 0.000
2 Cd 0.500 0.500 0.500
3 Pd 0.000 0.000 0.500
4 Pd 0.500 0.000 0.000
5 In 0.000 0.000 0.000

Energy of formation from the pure elements   1.189 eV per atom
E above lowest polymorph   0 kJ/mol of formula units
V   21.10 Å³ per atom
Space group   P4/mmm, No. 123

***

Copy entry 3 word for word.
# Ce2PrPd9

Ce2PrPd9 after structural relaxation (GGA-PBE, the Alexandria database).

a = 4.176 Å, b = 4.176 Å, c = 12.525 Å
α = 90.00°, β = 90.00°, γ = 90.00°
Atoms (fractional coordinates):
1 Ce 0.000 0.000 0.334
2 Ce 0.000 0.000 0.666
3 Pr 0.000 0.000 0.000
4 Pd 0.500 0.500 0.000
5 Pd 0.500 0.500 0.336
6 Pd 0.500 0.500 0.664
7 Pd 0.500 0.000 0.173
8 Pd 0.500 0.000 0.500
9 Pd 0.500 0.000 0.827
10 Pd 0.000 0.500 0.173
11 Pd 0.000 0.500 0.500
12 Pd 0.000 0.500 0.827

Energy of formation from the pure elements   -0.812 eV per atom
V   18.20 Å³ per atom
Space group   P4/mmm, No. 123

***

> Number 6 is which compound?

CsZr2HgI

***

> Which value of V does entry 5 give?

38.70 Å³ per atom